Compound: ZrMnCo2F
Source: the Alexandria database
Functional: GGA+U
Structure: relaxed

Cell lengths 4.8466, 4.1020, 4.8466 Å; angles 90.00, 90.00, 90.00 degrees
Last column: magnetic moment on the atom in μB.
Fractional positions:
Mn 0.5000 0.5000 0.5000  4.62
Co 0.0000 0.0000 0.5000  1.50
Co 0.5000 0.0000 0.0000  1.25
Zr 0.0000 0.0000 0.0000  -0.35
F 0.0000 0.5000 0.0000  0.01

Output
symmetry	P4/mmm (123)
total energy	-5.330	eV/atom